This record from Alexandria describes crystalline Th2MgAl4Cu3 at its relaxed geometry. The functional is PBE-GGA.

Values from the calculation:
Magnetic moment in μB per formula unit: 0.0
Electronic total energy in eV/cell: -47.1
Calculated density in Mg/m³: 6.797
Symmetry: No. 115

Cell lengths 4.237, 4.237, 10.707 Å; angles 90.00, 90.00, 90.00 degrees
Fractional coordinates of all 10 atoms:
Al1 0.000 0.000 0.000
Mg1 0.500 0.500 0.500
Al2 0.500 0.500 0.000
Al3 0.500 0.000 0.650
Al4 0.000 0.500 0.350
Cu1 0.500 0.000 0.876
Th1 0.000 0.500 0.762
Cu2 0.000 0.500 0.124
Th2 0.500 0.000 0.238
Cu3 0.000 0.000 0.500